Here is crystalline TlCrAgTe2 at its relaxed geometry from Alexandria. Energies are from PBE.

Output
Fermi-level density of states (states/eV/atom): 0.34
VASP energy (eV per atom): -4.27
Raw formation energy (kcal/mol of atoms): -1.0
Theoretical density (g cm⁻³): 7.0
Magnetic moment (μB per cell): 7.99

a = 8.4409 Å, b = 8.4409 Å, c = 6.0041 Å
α = 90.00°, β = 90.00°, γ = 136.59°
Atoms (fractional coordinates):
1 Tl 0.2500 0.7500 0.7872
2 Tl 0.7500 0.2500 0.2128
3 Cr 0.2500 0.2500 0.5000
4 Cr 0.7500 0.7500 0.5000
5 Ag 0.0000 0.0000 0.0000
6 Ag 0.5000 0.5000 0.0000
7 Te 0.1234 0.8766 0.3073
8 Te 0.3766 0.6234 0.3073
9 Te 0.6234 0.3766 0.6927
10 Te 0.8766 0.1234 0.6927